A plane-wave DFT calculation with PBE+U was carried out for Na3Cu2Mo3O12 after structural relaxation.

Cell lengths 9.4562, 9.4562, 7.0215 Å; angles 104.10, 104.10, 98.70 degrees
Atoms (fractional coordinates):
Na1 0.0000 0.0000 0.0000
Na2 0.0000 0.0000 0.5000
Na3 0.2298 0.7702 0.7500
Na4 0.4681 0.5319 0.2500
Na5 0.5319 0.4681 0.7500
Na6 0.7702 0.2298 0.2500
Cu1 0.1275 0.4507 0.8818
Cu2 0.4507 0.1275 0.3818
Cu3 0.5493 0.8725 0.6182
Cu4 0.8725 0.5493 0.1182
Mo1 0.1668 0.3780 0.3835
Mo2 0.2174 0.7826 0.2500
Mo3 0.3780 0.1668 0.8835
Mo4 0.6220 0.8332 0.1165
Mo5 0.7826 0.2174 0.7500
Mo6 0.8332 0.6220 0.6165
O1 0.0244 0.7465 0.2521
O2 0.0426 0.1988 0.3097
O3 0.1218 0.4598 0.1737
O4 0.1519 0.4933 0.6214
O5 0.1988 0.0426 0.8097
O6 0.2469 0.6669 0.0221
O7 0.2535 0.9756 0.2479
O8 0.3331 0.7531 0.4779
O9 0.3571 0.3571 0.4209
O10 0.3571 0.3571 0.9209
O11 0.4598 0.1218 0.6737
O12 0.4933 0.1519 0.1214
O13 0.5067 0.8481 0.8786
O14 0.5402 0.8782 0.3263
O15 0.6429 0.6429 0.0791
O16 0.6429 0.6429 0.5791
O17 0.6669 0.2469 0.5221
O18 0.7465 0.0244 0.7521
O19 0.7531 0.3331 0.9779
O20 0.8012 0.9574 0.1903
O21 0.8481 0.5067 0.3786
O22 0.8782 0.5402 0.8263
O23 0.9574 0.8012 0.6903
O24 0.9756 0.2535 0.7479

Output
- mass density (g/cm³) = 3.9
- space-group type = C2/c (15)
- magnetization (μB per formula unit) = 1.0
- E (eV/atom) = -6.153